First-principles (GGA-PBE) data for a geometry-optimized Pr3Zn6Ge5 structure, as listed in Alexandria via LeMat-Bulk.

Cell: 4.2027 10.4980 12.6091 Å, 90.00 90.00 90.00°
With the nearest neighbours (Å) after each atom.
Element x y z (fractional)
1 Pr 0.5000 0.7498 0.8328  6 Ge 3.10-3.21, 7 Zn 3.18-3.45
2 Ge 0.0000 0.5209 0.8624  5 Zn 2.58-2.73
3 Ge 0.5000 0.4791 0.3624  5 Zn 2.58-2.73
4 Zn 0.5000 0.3831 0.8319  4 Ge 2.53-2.65, 1 Zn 2.58
5 Zn 0.5000 0.3831 0.1681  4 Ge 2.53-2.65, 1 Zn 2.58
6 Zn 0.0000 0.9966 0.8407  4 Ge 2.60-2.65, 2 Zn 2.91
7 Zn 0.0000 0.6169 0.3319  4 Ge 2.53-2.65, 1 Zn 2.58
8 Ge 0.0000 0.8318 0.0000  4 Zn 2.65-2.72
9 Zn 0.5000 0.0034 0.3407  4 Ge 2.60-2.65, 2 Zn 2.91
10 Zn 0.0000 0.6169 0.6681  4 Ge 2.53-2.65, 1 Zn 2.58
11 Ge 0.0000 0.5209 0.1376  5 Zn 2.58-2.73
12 Zn 0.5000 0.0034 0.6593  4 Ge 2.60-2.65, 2 Zn 2.91
13 Zn 0.0000 0.9966 0.1593  4 Ge 2.60-2.65, 2 Zn 2.91
14 Zn 0.0000 0.4775 0.5000  2 Zn 2.58, 4 Ge 2.73
15 Zn 0.0000 0.0042 0.5000  4 Ge 2.61-2.72, 4 Zn 2.91
16 Ge 0.5000 0.4791 0.6376  5 Zn 2.58-2.73
17 Pr 0.0000 0.2502 0.3328  6 Ge 3.10-3.21, 7 Zn 3.18-3.45
18 Ge 0.5000 0.1682 0.5000  4 Zn 2.65-2.72
19 Zn 0.5000 0.5225 0.0000  2 Zn 2.58, 4 Ge 2.73
20 Zn 0.5000 0.9958 0.0000  4 Ge 2.61-2.72, 4 Zn 2.91
21 Ge 0.0000 0.8578 0.6672  5 Zn 2.53-2.63
22 Pr 0.0000 0.2502 0.6672  6 Ge 3.10-3.21, 7 Zn 3.18-3.45
23 Ge 0.0000 0.8578 0.3328  5 Zn 2.53-2.63
24 Ge 0.5000 0.1422 0.1672  5 Zn 2.53-2.63
25 Pr 0.5000 0.7458 0.5000  6 Ge 3.20-3.29, 10 Zn 3.28-3.51
26 Pr 0.0000 0.2542 0.0000  6 Ge 3.20-3.29, 10 Zn 3.28-3.51
27 Ge 0.5000 0.1422 0.8328  5 Zn 2.53-2.63
28 Pr 0.5000 0.7498 0.1672  6 Ge 3.10-3.21, 7 Zn 3.18-3.45

Results
Formation energy   -616 kJ/mol of formula units
Energy   -3.68 eV per atom
Spin magnetization   0.00 Bohr magnetons per cell